The following is a DFT calculation (GGA-PBE) of an optimized crystal structure of Ho6C3Se2Cl.

It has space group C2/m (No. 12), with a = 16.980 Å, b = 3.713 Å, c = 7.861 Å, α = 90.00°, β = 108.01° and γ = 90.00°. Symmetry generates all atoms from Ho at (0.012, 0.000, 0.216), Ho at (0.157, 0.500, 0.109), Ho at (0.180, 0.500, 0.556), C at (0.000, 0.500, 0.000), C at (0.166, 0.000, 0.334), Se at (0.163, 0.000, 0.827) and Cl at (0.000, 0.500, 0.500).

The calculated density is 8.6 g cm⁻³. Its total energy is -6.51 eV/atom. As for the magnetic moment: 0.000 μB/atom. The value obtained for the uncorrected formation energy is -114.01 kJ/mol of atoms.

=====

The following is a DFT calculation (GGA-PBE) of an optimized crystal structure of ZnTcRu.

It has space group Imm2 (No. 44), with a = 2.814 Å, b = 3.655 Å, c = 8.241 Å, α = 90.00°, β = 90.00° and γ = 90.00°. Symmetry generates all atoms from Zn at (0.000, 0.000, 0.000), Tc at (0.000, 0.000, 0.326) and Ru at (0.000, 0.000, 0.672).

The calculated density is 10.4 g cm⁻³. Its total energy is -6.96 eV/atom. As for the magnetic moment: 0.000 μB/atom. For the calculated formation energy, the calculation gives 0.01 eV per atom. The distance to the lowest polymorph of the same formula is 1.18 kcal/mol of atoms.

=====

The following is a DFT calculation (GGA-PBE) of an optimized crystal structure of NaTiO3.

It has space group P4mm (No. 99), with a = 3.138 Å, b = 3.138 Å, c = 6.061 Å, α = 90.00°, β = 90.00° and γ = 90.00°. Symmetry generates all atoms from Na at (0.000, 0.000, 0.000), Ti at (0.500, 0.500, 0.468), O at (0.000, 0.000, 0.634) and O at (0.000, 0.500, 0.277).

The calculated density is 3.3 g cm⁻³. Its total energy is -6.53 eV/atom. As for the magnetic moment: 0.019 μB/atom. The value obtained for the uncorrected formation energy is -165.13 kJ/mol of atoms.

=====

The following is a DFT calculation (GGA-PBE) of an optimized crystal structure of FeReNi4.

It has space group Pmma (No. 51), with a = 8.027 Å, b = 2.517 Å, c = 6.946 Å, α = 90.00°, β = 90.00° and γ = 90.00°. Symmetry generates all atoms from Fe at (0.250, 0.000, 0.179), Re at (0.250, 0.000, 0.532), Ni at (0.000, 0.000, 0.000), Ni at (0.013, 0.500, 0.326) and Ni at (0.250, 0.500, 0.869).

The calculated density is 11.3 g cm⁻³. Its total energy is -7.29 eV/atom. As for the magnetic moment: 0.603 μB/atom. For the calculated formation energy, the calculation gives 0.05 eV per atom. The distance to the lowest polymorph of the same formula is 0.00 kcal/mol of atoms.

=====

The lowest calculated density belongs to which entry? NaTiO3